First-principles (GGA-PBE) data for crystalline YTi2HgH at its relaxed geometry, as listed in Alexandria.

Structure (extended XYZ):
```
5
Lattice="4.316 0.000 0.000 0.000 4.316 0.000 0.000 0.000 4.536" Properties=species:S:1:pos:R:3 pbc="T T T"
Y 0.000 0.000 0.000
Ti 0.000 2.158 2.268
Ti 2.158 0.000 2.268
Hg 2.158 2.158 0.000
H 0.000 0.000 2.268
```

Results
E: -5.300 eV per atom



First-principles (GGA-PBE) data for crystalline CaIrSeF at its relaxed geometry, as listed in Alexandria.

Structure (extended XYZ):
```
4
Lattice="6.435 -1.788 0.000 6.435 1.788 0.000 -0.011 0.000 3.253" Properties=species:S:1:pos:R:3 pbc="T T T"
Ca 0.000 0.000 0.000
Ir 2.554 0.000 1.650
Se 9.667 0.000 0.022
F 6.047 0.000 1.622
```

Results
relative energy among the computed polymorphs: 74 meV per atom
formation energy from raw total energies: -5.805 eV per formula unit



First-principles (GGA-PBE) data for crystalline MgIn12Hg7 at its relaxed geometry, as listed in Alexandria.

Structure (extended XYZ):
```
20
Lattice="6.210 3.585 4.057 -6.210 3.585 4.057 0.000 -7.171 4.057" Properties=species:S:1:pos:R:3 pbc="T T T"
Mg 0.000 0.000 0.000
In -0.791 -4.016 4.483
In -2.717 -0.618 4.947
In -3.082 2.694 4.483
In -3.874 -1.323 7.688
In -0.824 -2.662 7.225
In 1.893 -2.044 4.947
In -1.893 2.044 7.225
In 0.824 2.662 4.947
In 3.874 1.323 4.483
In 3.082 -2.694 7.688
In 2.717 0.618 7.225
In 0.792 4.016 7.688
Hg -1.707 0.771 2.429
Hg 0.186 -1.864 2.429
Hg 1.522 1.093 2.429
Hg 0.000 0.000 6.086
Hg -1.522 -1.093 9.743
Hg -0.186 1.864 9.743
Hg 1.707 -0.771 9.743
```

Results
E: -1.808 eV per atom



First-principles (GGA-PBE) data for crystalline Zr4MnS8 at its relaxed geometry, as listed in Alexandria.

Structure (extended XYZ):
```
13
Lattice="3.635 2.099 6.102 -3.635 2.099 6.102 0.000 -4.198 6.102" Properties=species:S:1:pos:R:3 pbc="T T T"
Zr 0.000 0.000 0.000
Zr -1.818 -1.049 6.102
Zr -1.818 1.049 12.203
Zr 0.000 2.099 6.102
Mn 0.000 0.000 9.152
S -1.814 -1.048 10.661
S 0.000 -2.095 7.644
S -1.814 1.048 7.644
S 0.000 0.000 4.623
S 0.000 0.000 13.681
S 1.814 -1.048 10.661
S 0.000 2.095 10.661
S 1.814 1.048 7.644
```

Results
formation energy from raw total energies: -18.098 eV per formula unit



First-principles (GGA-PBE) data for crystalline SmGdTh2 at its relaxed geometry, as listed in Alexandria.

Structure (extended XYZ):
```
4
Lattice="3.560 0.000 0.000 0.000 3.560 0.000 0.000 0.000 10.268" Properties=species:S:1:pos:R:3 pbc="T T T"
Sm 0.000 0.000 0.000
Gd 0.000 0.000 5.134
Th 1.780 1.780 2.589
Th 1.780 1.780 7.679
```

Results
relative energy among the computed polymorphs: 5 meV per atom



First-principles (GGA-PBE) data for crystalline Sr2Ga4Pt3Rh at its relaxed geometry, as listed in Alexandria.

Structure (extended XYZ):
```
10
Lattice="4.361 0.000 0.000 0.000 4.361 0.000 0.000 0.000 10.500" Properties=species:S:1:pos:R:3 pbc="T T T"
Sr 0.000 2.180 2.570
Sr 2.180 0.000 7.930
Ga 0.000 0.000 5.250
Ga 0.000 2.180 9.199
Ga 2.180 0.000 1.301
Ga 2.180 2.180 5.250
Pt 0.000 0.000 0.000
Pt 0.000 2.180 6.632
Pt 2.180 0.000 3.868
Rh 2.180 2.180 0.000
```

Results
E: -4.948 eV per atom



First-principles (GGA-PBE) data for crystalline Er8Tc2Pt at its relaxed geometry, as listed in Alexandria.

Structure (extended XYZ):
```
11
Lattice="4.186 -6.317 0.000 4.186 6.317 0.000 -1.980 0.000 5.444" Properties=species:S:1:pos:R:3 pbc="T T T"
Er 0.000 0.000 0.000
Er 0.081 1.667 3.249
Er 2.631 2.706 1.046
Er 0.081 -1.667 3.249
Er 3.186 1.643 4.315
Er 2.631 -2.706 1.046
Er 3.186 -1.643 4.315
Er 5.367 0.000 2.130
Tc 1.650 3.910 3.828
Tc 1.650 -3.910 3.828
Pt 3.006 0.000 0.261
```

Results
E: -6.016 eV per atom



First-principles (GGA-PBE) data for crystalline Ho3Tm9In2 at its relaxed geometry, as listed in Alexandria.

Structure (extended XYZ):
```
14
Lattice="-2.565 6.067 6.676 2.565 -6.067 6.676 2.565 6.067 -6.676" Properties=species:S:1:pos:R:3 pbc="T T T"
Ho 0.000 0.000 0.000
Ho 0.000 3.553 0.000
Ho 0.000 8.582 0.000
Tm 2.565 1.640 -1.528
Tm 2.565 4.429 -3.157
Tm 2.565 1.640 1.528
Tm 0.000 1.638 3.519
Tm 0.000 0.000 6.676
Tm 2.565 4.429 3.157
Tm 0.000 4.427 5.148
Tm 0.000 1.638 9.833
Tm 0.000 4.427 8.203
In 2.565 0.000 4.533
In 0.000 6.067 2.142
```

Results
E: -4.253 eV per atom



First-principles (GGA-PBE) data for crystalline Na3ZnCd at its relaxed geometry, as listed in Alexandria.

Structure (extended XYZ):
```
10
Lattice="5.595 -4.671 0.000 5.595 4.671 0.000 -4.610 0.000 5.777" Properties=species:S:1:pos:R:3 pbc="T T T"
Na -0.892 0.000 1.900
Na 2.048 1.805 1.520
Na 2.048 -1.805 1.520
Na 4.532 1.805 4.257
Na 4.532 -1.805 4.257
Na 7.472 0.000 3.877
Zn -1.060 0.000 5.191
Zn 7.640 0.000 0.586
Cd 1.469 0.000 4.149
Cd 5.111 0.000 1.628
```

Results
relative energy among the computed polymorphs: 0 meV per atom



First-principles (GGA-PBE) data for crystalline TaAl2Os at its relaxed geometry, as listed in Alexandria.

Structure (extended XYZ):
```
4
Lattice="2.910 0.000 0.000 0.000 3.896 0.000 0.000 0.000 5.469" Properties=species:S:1:pos:R:3 pbc="T T T"
Ta 0.000 0.000 0.000
Al 1.455 1.948 1.451
Al 1.455 1.948 4.018
Os 0.000 0.000 2.735
```

Results
relative energy among the computed polymorphs: 243 meV per atom



First-principles (GGA-PBE) data for crystalline TmTiPt2 at its relaxed geometry, as listed in Alexandria.

Structure (extended XYZ):
```
4
Lattice="4.901 0.000 0.000 0.000 4.901 0.000 0.000 0.000 3.006" Properties=species:S:1:pos:R:3 pbc="T T T"
Tm 0.000 0.000 0.000
Ti 2.450 2.450 0.000
Pt 0.000 2.450 1.503
Pt 2.450 0.000 1.503
```

Results
relative energy among the computed polymorphs: 82 meV per atom



First-principles (GGA-PBE) data for crystalline Al4Ga2Ag at its relaxed geometry, as listed in Alexandria.

Structure (extended XYZ):
```
7
Lattice="5.048 -2.413 0.000 5.048 2.413 0.000 -4.299 0.000 5.718" Properties=species:S:1:pos:R:3 pbc="T T T"
Al -0.360 0.000 1.295
Al -1.235 0.000 3.952
Al 7.033 0.000 1.766
Al 6.158 0.000 4.423
Ga 1.615 0.000 3.149
Ga 4.183 0.000 2.569
Ag 5.048 0.000 0.000
```

Results
relative energy among the computed polymorphs: 46 meV per atom